[1]
A plane-wave DFT calculation with PBE was carried out for a geometry-optimized ErZn2 structure.

Cell: 13.8234 3.3973 4.9561 Å, 90.00 90.00 90.00°
With the nearest neighbours (Å) after each atom.
Element x y z (fractional)
Er (0.3250, 0.0000, 0.0000)  10 Zn 2.95-3.03
Er (0.8249, 0.5000, 0.0000)  10 Zn 2.95-3.03
Er (0.1195, 0.0000, 0.5000)  10 Zn 2.95-3.03
Er (0.6194, 0.5000, 0.5000)  10 Zn 2.95-3.03
Zn (0.6498, 0.0000, 0.0000)  2 Zn 2.69, 2 Er 2.96
Zn (0.9993, 0.0000, 0.0000)  2 Zn 2.69, 4 Er 2.95-2.98
Zn (0.1498, 0.5000, 0.0000)  2 Zn 2.69, 2 Er 2.96
Zn (0.4994, 0.5000, 0.0000)  2 Zn 2.69, 4 Er 2.95-2.98
Zn (0.4451, 0.0000, 0.5000)  2 Zn 2.69, 4 Er 2.95-2.98
Zn (0.7946, 0.0000, 0.5000)  2 Zn 2.69, 2 Er 2.96
Zn (0.2947, 0.5000, 0.5000)  2 Zn 2.69, 2 Er 2.96
Zn (0.9451, 0.5000, 0.5000)  2 Zn 2.69, 4 Er 2.95-2.98

Results
Its space-group type is Cmcm, No. 63. The calculation puts the formation energy at -231 meV/atom. For the spin magnetization, the calculation gives 0.00 μB per formula unit.

=====

[2]
A plane-wave DFT calculation with PBE was carried out for a geometry-optimized ErZn structure.

Cell: 5.3450 6.3931 5.3309 Å, 90.00 90.00 90.00°
With the nearest neighbours (Å) after each atom.
Element x y z (fractional)
Er (0.9333, 0.4602, 0.0000)  5 Zn 2.95-3.02
Er (0.4333, 0.7898, 0.0000)  5 Zn 2.95-3.02
Er (0.4001, 0.4602, 0.5000)  5 Zn 2.95-3.02
Er (0.9001, 0.7898, 0.5000)  5 Zn 2.95-3.02
Zn (0.4408, 0.2529, 0.0000)  5 Er 2.95-3.02, 4 Zn 3.13-3.14
Zn (0.9408, 0.9971, 0.0000)  5 Er 2.95-3.02, 4 Zn 3.13-3.14
Zn (0.8926, 0.2529, 0.5000)  5 Er 2.95-3.02, 4 Zn 3.13-3.14
Zn (0.3926, 0.9971, 0.5000)  5 Er 2.95-3.02, 4 Zn 3.13-3.14

Results
Its space-group type is Pbcm, No. 57. The calculation puts the formation energy at -137 meV/atom. For the spin magnetization, the calculation gives 0.24 μB per formula unit.

=====

[3]
A plane-wave DFT calculation with PBE was carried out for a geometry-optimized ErZn structure.

Cell: 6.6278 5.9557 4.5229 Å, 90.00 90.00 90.00°
With the nearest neighbours (Å) after each atom.
Element x y z (fractional)
Er (0.0804, 0.5080, 0.0000)  7 Zn 2.95-3.09
Er (0.5804, 0.7420, 0.0000)  7 Zn 2.95-3.09
Er (0.2530, 0.0080, 0.5000)  7 Zn 2.95-3.09
Er (0.7530, 0.2420, 0.5000)  7 Zn 2.95-3.09
Zn (0.9662, 0.0056, 0.0000)  2 Zn 2.82, 7 Er 2.95-3.09
Zn (0.4662, 0.2444, 0.0000)  2 Zn 2.82, 7 Er 2.95-3.09
Zn (0.3672, 0.5056, 0.5000)  2 Zn 2.82, 7 Er 2.95-3.09
Zn (0.8672, 0.7444, 0.5000)  2 Zn 2.82, 7 Er 2.95-3.09

Results
Its space-group type is Pnma, No. 62. The calculation puts the formation energy at -306 meV/atom. For the spin magnetization, the calculation gives 0.00 μB per formula unit.